No. 1
## Fe2TcRh8 (PBE-GGA)

Data for an optimized crystal structure of Fe2TcRh8.

Results
mass density	10.83	g/cm3
total moment	4.97	μB/f.u.
ΔE_f	139.2	meV/atom

Lattice parameters (Å, degrees): 7.8494 10.0639 4.0096 90.00 90.00 90.00
Closest atoms and distances in Å follow each position.
Space group Cmmm (No. 65)
One atom of each set of equivalent atoms:
Fe1 0.0000 0.1152 0.0000 (multiplicity 4)  1 Fe 2.32, 2 Rh 2.38
Tc1 0.0000 0.5000 0.5000 (multiplicity 2)  12 Rh 2.59-2.75
Rh1 0.0000 0.2424 0.5000 (multiplicity 4)  2 Fe 2.38, 1 Tc 2.59
Rh2 0.1674 0.0000 0.5000 (multiplicity 4)  1 Tc 2.61, 7 Rh 2.63-2.77, 4 Fe 2.66
Rh3 0.1696 0.3676 0.0000 (multiplicity 8)  2 Fe 2.60-2.87, 7 Rh 2.66-2.73, 2 Tc 2.75

=====

No. 2
## Cu5Rh3 (PBE-GGA)

Data for an optimized crystal structure of Cu5Rh3.

Results
mass density	9.60	g/cm3
total moment	0.00	μB/f.u.
ΔE_f	208.0	meV/atom

Lattice parameters (Å, degrees): 7.3327 7.3327 4.6544 90.00 90.00 120.00
Closest atoms and distances in Å follow each position.
Space group P6_3/mcm (No. 193)
One atom of each set of equivalent atoms:
Cu1 0.0000 0.2111 0.2500 (multiplicity 6)  5 Rh 2.59-2.79, 6 Cu 2.68-2.80
Cu2 0.3333 0.6667 0.0000 (multiplicity 4)  2 Cu 2.33, 6 Rh 2.51
Rh1 0.0000 0.4084 0.7500 (multiplicity 6)  9 Cu 2.51-2.79, 2 Rh 2.69

=====

No. 3
## Al2SbBr (PBE-GGA)

Data for an optimized crystal structure of Al2SbBr.

Results
mass density	4.57	g/cm3
formation energy (no corrections)	0.291	eV/atom
total moment	0.00	μB/f.u.

Lattice parameters (Å, degrees): 7.1895 7.1895 7.1895 90.00 90.00 90.00
Closest atoms and distances in Å follow each position.
Space group F-43m (No. 216)
One atom of each set of equivalent atoms:
Al1 0.0000 0.0000 0.0000 (multiplicity 4)  4 Al 3.11, 4 Br 3.11
Al2 0.2500 0.2500 0.2500 (multiplicity 4)  4 Sb 3.11, 4 Al 3.11
Sb1 0.0000 0.0000 0.5000 (multiplicity 4)  4 Br 3.11, 4 Al 3.11
Br1 0.2500 0.2500 0.7500 (multiplicity 4)  4 Sb 3.11, 4 Al 3.11

=====

No. 4
## DyZn8Ni4 (PBE-GGA)

Data for an optimized crystal structure of DyZn8Ni4.

Results
mass density	8.23	g/cm3
total moment	0.00	μB/f.u.
ΔE_f	-295.1	meV/atom

Lattice parameters (Å, degrees): 8.5657 8.5657 5.0635 90.00 90.00 90.00
Closest atoms and distances in Å follow each position.
Space group I4/mmm (No. 139)
One atom of each set of equivalent atoms:
Dy1 0.0000 0.0000 0.0000 (multiplicity 2)  12 Zn 2.93-3.17
Zn1 0.0000 0.2224 0.5000 (multiplicity 8)  4 Ni 2.50, 6 Zn 2.69-2.74
Zn2 0.0000 0.3416 0.0000 (multiplicity 8)  4 Ni 2.61, 5 Zn 2.71-2.74
Ni1 0.2500 0.2500 0.2500 (multiplicity 8)  8 Zn 2.50-2.61, 2 Ni 2.53

=====

No. 5
## W2C (PBE-GGA)

Data for an optimized crystal structure of W2C.

Results
mass density	17.15	g/cm3
total moment	0.00	μB/f.u.
ΔE_f	604.6	meV/atom

Lattice parameters (Å, degrees): 6.4742 6.4742 3.0381 90.00 90.00 120.00
Closest atoms and distances in Å follow each position.
Space group P-62m (No. 189)
One atom of each set of equivalent atoms:
W1 0.0000 0.2507 0.0000 (multiplicity 3)  4 C 2.22-2.47
W2 0.0000 0.5904 0.5000 (multiplicity 3)  5 C 2.48-2.65, 6 W 2.67-2.77
C1 0.0000 0.0000 0.5000 (multiplicity 1)  6 W 2.22
C2 0.3333 0.6667 0.0000 (multiplicity 2)  9 W 2.47-2.48

=====

No. 6
## MnOsRu4 (PBE-GGA)

Data for an optimized crystal structure of MnOsRu4.

Results
mass density	13.03	g/cm3
total moment	1.86	μB/f.u.
ΔE_f	99.0	meV/atom

Lattice parameters (Å, degrees): 9.3367 5.3802 6.5902 90.00 90.24 90.00
Closest atoms and distances in Å follow each position.
Space group C2/m (No. 12)
One atom of each set of equivalent atoms:
Mn1 0.0859 0.0000 0.3308 (multiplicity 4)  9 Ru 2.68-2.70, 2 Os 2.69, 1 Mn 2.75
Os1 0.0839 0.5000 0.3329 (multiplicity 4)  9 Ru 2.68-2.69, 2 Mn 2.69, 1 Os 2.71
Ru1 0.0000 0.2485 0.0000 (multiplicity 4)  8 Ru 2.67-2.71, 2 Mn 2.68, 2 Os 2.69
Ru2 0.1654 0.2478 0.6653 (multiplicity 8)  6 Ru 2.67-2.72, 3 Mn 2.68-2.70, 3 Os 2.68-2.69
Ru3 0.2503 0.0000 0.9973 (multiplicity 4)  1 Os 2.68, 10 Ru 2.68-2.72, 1 Mn 2.69

=====

No. 7
## Mg2Pd3Au8 (PBE-GGA)

Data for an optimized crystal structure of Mg2Pd3Au8.

Results
mass density	12.89	g/cm3
total moment	0.00	μB/f.u.
ΔE_f	-51.3	meV/atom

Lattice parameters (Å, degrees): 5.3849 5.3849 29.9098 90.00 90.00 120.00
Closest atoms and distances in Å follow each position.
Space group R-3m (No. 166, hexagonal axes)
One atom of each set of equivalent atoms:
Mg1 0.0000 0.0000 0.1359 (multiplicity 6)  4 Au 2.56-2.76
Pd1 0.0000 0.0000 0.3135 (multiplicity 6)  10 Au 2.75-2.94
Pd2 0.0000 0.0000 0.5000 (multiplicity 3)  6 Mg 3.24, 12 Au 3.52-3.56
Au1 0.0000 0.0000 0.2216 (multiplicity 6)  1 Mg 2.56, 1 Pd 2.75
Au2 0.9999 0.4999 0.2737 (multiplicity 18)  4 Au 2.69, 1 Mg 2.76, 3 Pd 2.84-2.94

=====

No. 8
## Mg4InGa5 (PBE-GGA)

Data for an optimized crystal structure of Mg4InGa5.

Results
mass density	4.44	g/cm3
total moment	0.00	μB/f.u.
ΔE_f	-71.3	meV/atom

Lattice parameters (Å, degrees): 9.1453 9.9372 4.6128 90.00 90.00 90.00
Closest atoms and distances in Å follow each position.
Space group Pmmn (No. 59, origin choice 2)
One atom of each set of equivalent atoms:
Mg1 0.0488 0.2500 0.2482 (multiplicity 4)  2 In 2.95, 6 Ga 2.99-3.19, 2 Mg 3.26
Mg2 0.2500 0.5716 0.7759 (multiplicity 4)  8 Ga 2.88-3.17, 1 In 3.20
In1 0.2500 0.2500 0.7486 (multiplicity 2)  6 Mg 2.95-3.20, 4 Ga 3.08
Ga1 0.0247 0.5704 0.2525 (multiplicity 8)  3 Ga 2.72-2.75, 4 Mg 2.88-3.01
Ga2 0.2500 0.7500 0.2822 (multiplicity 2)  4 Ga 2.73, 4 Mg 2.89-2.93

=====

No. 9
## SrMg12Pd6 (PBE-GGA)

Data for an optimized crystal structure of SrMg12Pd6.

Results
mass density	4.19	g/cm3
total moment	0.00	μB/f.u.
ΔE_f	-449.5	meV/atom

Lattice parameters (Å, degrees): 12.1393 12.1393 9.4900 90.00 90.00 120.00
Closest atoms and distances in Å follow each position.
Space group R-3m (No. 166, hexagonal axes)
One atom of each set of equivalent atoms:
Sr1 0.0000 0.0000 0.0000 (multiplicity 3)  18 Mg 3.79-4.12, 6 Pd 3.98
Mg1 0.0000 0.3784 0.5000 (multiplicity 18)  4 Pd 2.65-2.69, 1 Mg 2.95
Mg2 0.0892 0.1784 0.3469 (multiplicity 18)  3 Pd 2.69-2.73
Pd1 0.0407 0.5204 0.2677 (multiplicity 18)  7 Mg 2.65-2.73

=====

No. 10
## PaTeO2 (PBE-GGA)

Data for an optimized crystal structure of PaTeO2.

Results
mass density	8.17	g/cm3
formation energy (no corrections)	-2.585	eV/atom
total moment	0.24	μB/f.u.

Lattice parameters (Å, degrees): 3.7272 14.8928 5.7200 90.00 90.00 90.00
Closest atoms and distances in Å follow each position.
Space group Cmcm (No. 63)
One atom of each set of equivalent atoms:
Pa1 0.0000 0.1977 0.2500 (multiplicity 4)  6 O 2.27
Te1 0.0000 0.0172 0.7500 (multiplicity 4)  2 Te 2.91, 1 Pa 3.20
O1 0.0000 0.3081 0.5232 (multiplicity 8)  3 Pa 2.27

=====

No. 11
## Ac3NdCr2N6 (PBE-GGA)

Data for an optimized crystal structure of Ac3NdCr2N6.

Results
mass density	7.54	g/cm3
formation energy (no corrections)	-0.882	eV/atom
total moment	1.09	μB/f.u.

Lattice parameters (Å, degrees): 5.9906 5.9906 7.1824 90.00 90.00 120.00
Closest atoms and distances in Å follow each position.
Space group P-3m1 (No. 164)
One atom of each set of equivalent atoms:
Ac1 0.0000 0.0000 0.0000 (multiplicity 1)  6 N 2.68
Ac2 0.3333 0.6667 0.7078 (multiplicity 2)  6 N 3.00
Nd1 0.0000 0.0000 0.5000 (multiplicity 1)  6 N 2.41
Cr1 0.3333 0.6667 0.2080 (multiplicity 2)  3 N 1.73
N1 0.1733 0.3466 0.2759 (multiplicity 6)  1 Cr 1.73

=====

No. 12
## Gd2BeRh (PBE-GGA)

Data for an optimized crystal structure of Gd2BeRh.

Results
mass density	8.52	g/cm3
total moment	14.10	μB/f.u.
ΔE_f	-319.4	meV/atom

Lattice parameters (Å, degrees): 6.9267 6.9267 6.9267 90.00 90.00 90.00
Closest atoms and distances in Å follow each position.
Space group Fm-3m (No. 225)
One atom of each set of equivalent atoms:
Gd1 0.2500 0.2500 0.2500 (multiplicity 8)  4 Be 3.00, 4 Rh 3.00
Be1 0.0000 0.0000 0.0000 (multiplicity 4)  8 Gd 3.00
Rh1 0.0000 0.0000 0.5000 (multiplicity 4)  8 Gd 3.00

=====

No. 13
## SmYSe (PBE-GGA)

Data for an optimized crystal structure of SmYSe.

Results
mass density	6.04	g/cm3
formation energy (no corrections)	-1.129	eV/atom
total moment	0.01	μB/f.u.

Lattice parameters (Å, degrees): 3.9062 3.9062 6.6193 90.00 90.00 120.00
Closest atoms and distances in Å follow each position.
Space group P3m1 (No. 156)
One atom of each set of equivalent atoms:
Sm1 0.0000 0.0000 0.0000 (multiplicity 1)  3 Se 2.94
Y1 0.3333 0.6667 0.5544 (multiplicity 1)  3 Se 2.88
Se1 0.6667 0.3333 0.2844 (multiplicity 1)  3 Y 2.88, 3 Sm 2.94

=====

No. 14
## KZrCo (PBE-GGA)

Data for an optimized crystal structure of KZrCo.

Results
mass density	4.45	g/cm3
total moment	0.00	μB/f.u.
ΔE_f	1139.4	meV/atom

Lattice parameters (Å, degrees): 6.5630 6.5630 6.5630 90.00 90.00 90.00
Closest atoms and distances in Å follow each position.
Space group F-43m (No. 216)
One atom of each set of equivalent atoms:
K1 0.0000 0.0000 0.0000 (multiplicity 4)  4 Co 2.84
Zr1 0.0000 0.0000 0.5000 (multiplicity 4)  4 Co 2.84
Co1 0.2500 0.2500 0.2500 (multiplicity 4)  4 K 2.84, 4 Zr 2.84

=====

No. 15
## CeBeAu (PBE-GGA)

Data for an optimized crystal structure of CeBeAu.

Results
mass density	10.49	g/cm3
total moment	0.01	μB/f.u.
ΔE_f	-369.6	meV/atom

Lattice parameters (Å, degrees): 7.6830 4.4409 6.4250 90.00 90.00 90.00
Closest atoms and distances in Å follow each position.
Space group Pnma (No. 62)
One atom of each set of equivalent atoms:
Ce1 0.0082 0.2500 0.1507 (multiplicity 4)  2 Ce 2.95, 4 Be 3.00-3.02, 4 Au 3.04-3.19
Be1 0.1523 0.7500 0.4197 (multiplicity 4)  4 Au 2.42-2.53
Au1 0.1722 0.2500 0.6072 (multiplicity 4)  4 Be 2.42-2.53

=====

No. 16
## Ti2Fe2N (PBE-GGA)

Data for an optimized crystal structure of Ti2Fe2N.

Results
mass density	6.34	g/cm3
formation energy (no corrections)	0.001	eV/atom
total moment	0.00	μB/f.u.

Lattice parameters (Å, degrees): 5.1385 5.1385 4.3950 90.00 90.00 90.00
Closest atoms and distances in Å follow each position.
Space group P4/mbm (No. 127)
One atom of each set of equivalent atoms:
Ti1 0.1749 0.3251 0.0000 (multiplicity 4)  2 Fe 2.49, 5 Ti 2.54-2.68
Fe1 0.1654 0.6654 0.5000 (multiplicity 4)  2 N 1.92
N1 0.0000 0.0000 0.5000 (multiplicity 2)  4 Fe 1.92

=====

Computed V, in the same sequence as the records: 158.4, 108.4, 92.9, 185.8, 36.8, 82.8, 250.4, 209.6, 403.7, 79.4, 223.2, 83.1, 87.5, 70.7, 54.8, 58.0 Å³/f.u..